Record 1
Material: CaPm4Tm
Method: DFT, PBE
State: optimized geometry

The structure in CIF format:
```
data_CaPm4Tm
_cell_length_a 3.630
_cell_length_b 10.441
_cell_length_c 11.118
_cell_angle_alpha 90.00
_cell_angle_beta 90.00
_cell_angle_gamma 100.01
_space_group_name_H-M_alt 'P 1'
_space_group_IT_number 1
loop_
_space_group_symop_operation_xyz
'x,y,z'
loop_
_atom_site_label
_atom_site_fract_x
_atom_site_fract_y
_atom_site_fract_z
_atom_site_occupancy
Ca1 0.595 0.189 0.750 1
Ca2 0.405 0.811 0.250 1
Pm1 0.826 0.652 0.973 1
Pm2 0.000 0.000 0.500 1
Pm3 0.174 0.348 0.473 1
Pm4 0.174 0.348 0.027 1
Pm5 0.826 0.652 0.527 1
Pm6 0.582 0.165 0.250 1
Pm7 0.418 0.835 0.750 1
Pm8 0.000 0.000 0.000 1
Tm1 0.248 0.495 0.750 1
Tm2 0.752 0.505 0.250 1
```

Calculated values
Energy above the lowest structure with this stoichiometry, meV/atom: 0



Record 2
Material: Ca2PmTm
Method: DFT, PBE
State: optimized geometry

The structure in CIF format:
```
data_Ca2PmTm
_cell_length_a 5.862
_cell_length_b 5.862
_cell_length_c 5.862
_cell_angle_alpha 60.00
_cell_angle_beta 60.00
_cell_angle_gamma 60.00
_space_group_name_H-M_alt 'P 1'
_space_group_IT_number 1
loop_
_space_group_symop_operation_xyz
'x,y,z'
loop_
_atom_site_label
_atom_site_fract_x
_atom_site_fract_y
_atom_site_fract_z
_atom_site_occupancy
Ca1 0.250 0.250 0.250 1
Ca2 0.750 0.750 0.750 1
Tm1 0.500 0.500 0.500 1
Pm1 0.000 0.000 0.000 1
```

Calculated values
Energy above the lowest structure with this stoichiometry, meV/atom: 48



Record 3
Material: CaPm6Tm8
Method: DFT, PBE
State: optimized geometry

The structure in CIF format:
```
data_CaPm6Tm8
_cell_length_a 6.054
_cell_length_b 9.914
_cell_length_c 9.914
_cell_angle_alpha 120.00
_cell_angle_beta 90.00
_cell_angle_gamma 90.00
_space_group_name_H-M_alt 'P 1'
_space_group_IT_number 1
loop_
_space_group_symop_operation_xyz
'x,y,z'
loop_
_atom_site_label
_atom_site_fract_x
_atom_site_fract_y
_atom_site_fract_z
_atom_site_occupancy
Ca1 0.500 0.000 0.000 1
Pm1 0.548 0.694 0.139 1
Pm2 0.548 0.861 0.555 1
Pm3 0.548 0.445 0.306 1
Pm4 0.452 0.306 0.861 1
Pm5 0.452 0.139 0.445 1
Pm6 0.452 0.555 0.694 1
Tm1 0.944 0.978 0.319 1
Tm2 0.944 0.681 0.659 1
Tm3 0.944 0.341 0.022 1
Tm4 0.056 0.022 0.681 1
Tm5 0.056 0.319 0.341 1
Tm6 0.056 0.659 0.978 1
Tm7 0.936 0.333 0.667 1
Tm8 0.064 0.667 0.333 1
```



Record 4
Material: CaPm2Tm
Method: DFT, PBE
State: optimized geometry

The structure in CIF format:
```
data_CaPm2Tm
_cell_length_a 5.014
_cell_length_b 5.221
_cell_length_c 5.221
_cell_angle_alpha 90.00
_cell_angle_beta 90.00
_cell_angle_gamma 90.00
_space_group_name_H-M_alt 'P 1'
_space_group_IT_number 1
loop_
_space_group_symop_operation_xyz
'x,y,z'
loop_
_atom_site_label
_atom_site_fract_x
_atom_site_fract_y
_atom_site_fract_z
_atom_site_occupancy
Ca1 0.500 0.000 0.000 1
Tm1 0.500 0.500 0.500 1
Pm1 0.000 0.000 0.500 1
Pm2 0.000 0.500 0.000 1
```

Calculated values
Energy above the lowest structure with this stoichiometry, meV/atom: 66



Record 5
Material: CaPm12Tm2
Method: DFT, PBE
State: optimized geometry

The structure in CIF format:
```
data_CaPm12Tm2
_cell_length_a 6.790
_cell_length_b 6.790
_cell_length_c 25.608
_cell_angle_alpha 96.38
_cell_angle_beta 83.62
_cell_angle_gamma 64.28
_space_group_name_H-M_alt 'P 1'
_space_group_IT_number 1
loop_
_space_group_symop_operation_xyz
'x,y,z'
loop_
_atom_site_label
_atom_site_fract_x
_atom_site_fract_y
_atom_site_fract_z
_atom_site_occupancy
Ca1 0.497 0.003 0.004 1
Ca2 0.003 0.497 0.996 1
Pm1 0.412 0.606 0.796 1
Pm2 0.894 0.088 0.796 1
Pm3 0.603 0.897 0.863 1
Pm4 0.061 0.939 0.921 1
Pm5 0.017 0.011 0.329 1
Pm6 0.439 0.561 0.079 1
Pm7 0.844 0.175 0.556 1
Pm8 0.489 0.483 0.329 1
Pm9 0.110 0.390 0.852 1
Pm10 0.897 0.603 0.137 1
Pm11 0.344 0.156 0.568 1
Pm12 0.656 0.325 0.444 1
Pm13 0.011 0.017 0.671 1
Pm14 0.156 0.344 0.432 1
Pm15 0.390 0.110 0.148 1
Pm16 0.693 0.807 0.412 1
Pm17 0.807 0.693 0.588 1
Pm18 0.088 0.894 0.204 1
Pm19 0.325 0.656 0.556 1
Pm20 0.483 0.489 0.671 1
Pm21 0.561 0.439 0.921 1
Pm22 0.606 0.412 0.204 1
Pm23 0.175 0.844 0.444 1
Pm24 0.939 0.061 0.079 1
Tm1 0.555 0.945 0.274 1
Tm2 0.036 0.464 0.273 1
Tm3 0.945 0.555 0.726 1
Tm4 0.464 0.036 0.727 1
```



Record 6
Material: CaPm5Tm4
Method: DFT, PBE
State: optimized geometry

The structure in CIF format:
```
data_CaPm5Tm4
_cell_length_a 3.605
_cell_length_b 3.605
_cell_length_c 25.476
_cell_angle_alpha 90.00
_cell_angle_beta 90.00
_cell_angle_gamma 90.00
_space_group_name_H-M_alt 'P 1'
_space_group_IT_number 1
loop_
_space_group_symop_operation_xyz
'x,y,z'
loop_
_atom_site_label
_atom_site_fract_x
_atom_site_fract_y
_atom_site_fract_z
_atom_site_occupancy
Ca1 0.000 0.000 0.000 1
Pm1 0.500 0.500 0.111 1
Pm2 0.500 0.500 0.305 1
Pm3 0.500 0.500 0.500 1
Pm4 0.500 0.500 0.695 1
Pm5 0.500 0.500 0.889 1
Tm1 0.000 0.000 0.206 1
Tm2 0.000 0.000 0.402 1
Tm3 0.000 0.000 0.598 1
Tm4 0.000 0.000 0.794 1
```



Record 7
Material: CaPmTm4
Method: DFT, PBE
State: optimized geometry

The structure in CIF format:
```
data_CaPmTm4
_cell_length_a 6.607
_cell_length_b 6.607
_cell_length_c 6.607
_cell_angle_alpha 60.00
_cell_angle_beta 60.00
_cell_angle_gamma 60.00
_space_group_name_H-M_alt 'P 1'
_space_group_IT_number 1
loop_
_space_group_symop_operation_xyz
'x,y,z'
loop_
_atom_site_label
_atom_site_fract_x
_atom_site_fract_y
_atom_site_fract_z
_atom_site_occupancy
Ca1 0.000 0.000 0.000 1
Tm1 0.624 0.624 0.128 1
Tm2 0.624 0.128 0.624 1
Tm3 0.624 0.624 0.624 1
Tm4 0.128 0.624 0.624 1
Pm1 0.250 0.250 0.250 1
```



Record 8
Material: CaPm2Tm
Method: DFT, PBE
State: optimized geometry

The structure in CIF format:
```
data_CaPm2Tm
_cell_length_a 5.799
_cell_length_b 5.799
_cell_length_c 5.799
_cell_angle_alpha 60.00
_cell_angle_beta 60.00
_cell_angle_gamma 60.00
_space_group_name_H-M_alt 'P 1'
_space_group_IT_number 1
loop_
_space_group_symop_operation_xyz
'x,y,z'
loop_
_atom_site_label
_atom_site_fract_x
_atom_site_fract_y
_atom_site_fract_z
_atom_site_occupancy
Ca1 0.500 0.500 0.500 1
Tm1 0.000 0.000 0.000 1
Pm1 0.250 0.250 0.250 1
Pm2 0.750 0.750 0.750 1
```

Calculated values
Energy above the lowest structure with this stoichiometry, meV/atom: 81



| no. | energy relative to the elements (meV per atom) | calculated total energy (eV/atom) |
| --- | --- | --- |
| 1 | 48.0 | -4.198 |
| 2 | 170.5 | -3.136 |
| 3 | 224.3 | -4.194 |
| 4 | 107.8 | -3.886 |
| 5 | 111.4 | -4.419 |
| 6 | 32.4 | -4.332 |
| 7 | 225.5 | -3.881 |
| 8 | 122.7 | -3.871 |